Computed, not measured: a relaxed La2CoSe crystal at the PBE level of DFT.

**Formation energy without anion corrections**: -691.6 meV/atom
**Space-group type**: I-42d (122)
**Total moment**: 0.0000 μB per atom
**E_tot**: -5.803 eV/atom

abc: 6.602 6.602 6.602
angles: 111.64 111.64 105.21
Positions (direct):
La: 0.081 0.625 0.956
La: 0.375 0.331 0.456
La: 0.669 0.125 0.044
La: 0.875 0.919 0.544
Co: 0.000 0.000 0.000
Co: 0.750 0.250 0.500
Se: 0.250 0.750 0.500
Se: 0.500 0.500 0.000